Entry 1:
Tb6TlRu2, optimized geometry, DFT PBE; polymorph energy (0 for the lowest one) = 0.000 eV per atom; volume = 237.6 Å³/f.u.; SG = Immm (71); E = -5.747 eV per atom
1.0
7.9998 -0.1369 -2.9656
-4.2891 7.0154 -2.2799
-0.1329 0.1369 8.5307
Tb Tl Ru
12 2 4
Cartesian
1.0723 5.0428 3.7700
2.5055 1.9726 -0.4847
-0.5101 2.1095 6.0068
4.0879 4.9059 -2.7215
3.0082 5.3067 0.6415
0.5697 1.7088 2.6437
-1.7394 5.4436 5.9078
5.3172 1.5718 -2.6225
3.8791 2.5098 2.8594
-0.3013 4.5056 0.4259
-1.8054 6.9385 2.5521
5.3832 0.0769 0.7332
-2.2110 3.5762 3.1254
0.0000 0.0000 0.0000
2.2813 2.6723 5.1180
1.2965 4.3431 -1.8328
5.2712 0.0000 3.7289
2.5957 0.0000 1.8362

---

Entry 2:
Tb2Tl2Ru, optimized geometry, DFT PBE; volume = 124.7 Å³/f.u.; SG = I4/mmm (139); E = -4.938 eV per atom
1.0
-2.9520 0.2105 1.7824
-1.7802 0.0945 -2.9594
1.6732 -10.5800 0.6723
Tb Tl Ru
2 2 1
Cartesian
-2.4767 -1.5122 -0.5751
-0.5823 -8.7628 0.0704
-2.7860 -6.1668 -0.5377
-0.2730 -4.1082 0.0330
0.0000 0.0000 0.0000

---

Entry 3:
Tb7TlRu2, optimized geometry, DFT PBE; volume = 318.4 Å³/f.u.; SG = Cmmm (65); E = -5.427 eV per atom
1.0
-1.6972 -2.7776 -4.1106
-6.3595 -2.5990 4.3820
-1.4127 6.9080 -4.0846
Tb Tl Ru
7 1 2
Cartesian
-4.9667 0.0779 1.9981
-2.8055 4.2311 -1.7007
-1.6384 0.6637 -3.1161
-7.8310 0.8677 -0.6971
-2.9425 -1.8425 -0.8841
-6.5269 3.3739 -2.9291
-4.7347 0.7657 -1.9066
0.0000 0.0000 0.0000
-5.7203 -1.1284 -0.2198
-3.7491 2.6598 -3.5934

---

Entry 4:
Tb5Tl2Ru, optimized geometry, DFT PBE; polymorph energy (0 for the lowest one) = 0.361 eV per atom; volume = 282.2 Å³/f.u.; SG = Cmcm (63); E = -4.624 eV per atom
1.0
5.4633 0.0000 0.0000
-2.7316 8.3143 0.0000
0.0000 0.0000 12.4243
Tb Tl Ru
10 4 2
Cartesian
2.7316 7.1189 11.1400
2.7316 7.1189 7.4964
0.0000 4.8865 5.2474
0.0000 4.8865 0.9648
2.7316 3.3913 3.1061
0.0000 4.9230 9.3182
2.7316 3.4279 7.1769
2.7316 3.4279 11.4595
0.0000 1.1955 1.2843
0.0000 1.1955 4.9279
2.7316 6.3365 4.5752
2.7316 6.3365 1.6369
0.0000 1.9779 7.8491
0.0000 1.9779 10.7874
2.7316 5.2194 9.3182
0.0000 3.0950 3.1061

---

Entry 5:
Tb6Tl3Ru, optimized geometry, DFT PBE; volume = 270.8 Å³/f.u.; SG = P2_1/m (11); E = -4.706 eV per atom
1.0
-4.6778 -1.9601 1.6241
3.9172 -2.6437 8.0916
-3.8654 10.5263 1.5705
Tb Tl Ru
12 6 2
Cartesian
0.2782 -0.7734 4.2337
-4.9043 6.6958 7.0526
-1.3011 0.8419 1.6344
-3.3250 5.0805 9.6519
-1.0370 4.7139 7.0680
-3.5891 1.2085 4.2183
-2.2637 4.1897 2.9022
-2.3624 1.7327 8.3841
0.8786 0.7657 7.8203
-5.5046 5.1567 3.4660
-4.0543 8.2000 2.5849
-0.5718 -2.2776 8.7014
-0.6580 2.1979 5.1231
-3.9680 3.7245 6.1632
-2.6139 6.6828 4.9023
-2.0121 -0.7604 6.3840
-1.9036 7.7544 8.2414
-2.7225 -1.8320 3.0449
0.2933 3.2384 9.1187
-4.9193 2.6840 2.1676

---

Entry 6:
Tb8Tl2Ru, optimized geometry, DFT PBE; volume = 311.2 Å³/f.u.; SG = C2/m (12); E = -4.853 eV per atom
1.0
5.4720 0.0000 0.0000
0.0000 7.0067 -0.1195
-2.7360 -3.1683 8.1711
Tb Tl Ru
8 2 1
Cartesian
0.0000 1.6012 6.4864
2.7360 5.5464 2.2040
2.7360 3.2907 4.8936
2.7360 -1.5097 7.9552
0.0000 0.5477 3.1581
0.0000 -1.7080 5.8476
2.7360 2.2373 1.5653
0.0000 5.3481 0.0964
2.7360 0.1290 5.1498
0.0000 3.7094 2.9018
2.7360 0.0000 0.0000

---

Entry 7:
Tb4Tl2Ru, optimized geometry, DFT PBE; polymorph energy (0 for the lowest one) = 0.103 eV per atom; volume = 203.7 Å³/f.u.; SG = P2/m (10); E = -4.865 eV per atom
1.0
3.5690 0.0000 0.0000
0.0000 8.9678 -1.9376
0.0000 -5.3903 7.5275
Tb Tl Ru
4 2 1
Cartesian
1.7845 4.0198 3.8588
0.0000 2.8799 0.6201
1.7845 0.0680 2.5303
0.0000 1.2082 5.7688
1.7845 -1.5885 5.4684
1.7845 5.6763 0.9201
0.0000 0.2553 0.3997

---

Entry 8:
Tb6TlRu2, optimized geometry, DFT PBE; polymorph energy (0 for the lowest one) = 0.102 eV per atom; volume = 236.3 Å³/f.u.; SG = C2/m (12); E = -5.645 eV per atom
1.0
-4.6102 1.9685 -0.3131
0.9231 -3.5581 4.3232
2.1548 6.1351 6.8432
Tb Tl Ru
6 1 2
Cartesian
-1.7766 3.7577 9.4987
-2.5586 0.8455 2.7029
1.0263 3.7000 8.1504
-1.4209 3.9463 5.4475
-0.1113 0.5992 5.4058
0.2444 0.7877 1.3546
1.0774 3.0676 3.4216
-0.6724 5.9422 6.9746
-0.8598 -1.3968 3.8787

---

Entry 9:
Tb5Tl2Ru2, optimized geometry, DFT PBE; volume = 236.7 Å³/f.u.; SG = Cmce (64); E = -5.512 eV per atom
1.0
7.6332 0.0000 0.0000
0.0000 7.5247 0.0000
0.0000 -3.7624 8.2417
Tb Tl Ru
10 4 4
Cartesian
0.0000 0.0000 0.0000
3.8166 3.7624 0.0000
6.3467 5.0407 1.8997
1.2864 2.4840 1.8997
2.5301 6.2464 1.8997
5.1030 1.2784 1.8997
1.2864 -1.2784 6.3420
6.3467 1.2784 6.3420
5.1030 -2.4840 6.3420
2.5301 2.4840 6.3420
0.0000 0.0000 3.6303
3.8166 3.7624 3.6303
0.0000 3.7624 4.6113
3.8166 0.0000 4.6113
4.8349 6.5494 0.0000
2.7983 0.9753 0.0000
1.0183 4.7377 0.0000
6.6149 2.7870 0.0000

---

Entry 10:
Tb8Tl2Ru3, optimized geometry, DFT PBE; volume = 358.6 Å³/f.u.; SG = P2/m (10); E = -5.595 eV per atom
1.0
4.9712 0.0000 0.0000
0.0000 8.5754 -4.8851
0.0000 -0.6220 8.7656
Tb Tl Ru
8 2 3
Cartesian
4.9712 5.1138 -1.0465
0.0000 2.8397 4.9271
4.9712 0.8397 1.4196
0.0000 7.1137 2.4610
2.4856 5.0200 3.7043
2.4856 0.6550 6.1503
2.4856 7.2984 -2.2697
2.4856 2.9335 0.1763
2.4856 1.8785 3.2185
2.4856 6.0749 0.6621
2.4856 0.0000 0.0000
0.0000 1.5118 7.5390
0.0000 6.4417 -3.6585